# 1
# FeRe2Hg PBE optimized geometry
data_FeRe2Hg
_space_group_name_H-M_alt 'C 1 m 1'
_space_group_IT_number 8
_cell_length_a 9.142
_cell_length_b 2.850
_cell_length_c 4.920
_cell_angle_alpha 90.00
_cell_angle_beta 100.62
_cell_angle_gamma 90.00
loop_
_space_group_symop_operation_xyz
'x,y,z'
'x,-y,z'
'x+1/2,y+1/2,z'
'x+1/2,-y+1/2,z'
loop_
_atom_site_label
_atom_site_type_symbol
_atom_site_fract_x
_atom_site_fract_y
_atom_site_fract_z
_atom_site_occupancy
Fe1 Fe 0.000 0.000 0.000 1
Re1 Re 0.238 0.500 0.233 1
Re2 Re 0.483 0.000 0.421 1
Hg1 Hg 0.243 0.000 0.737 1
# energy above the lowest structure with this stoichiometry = 0.217 eV/atom
# ΔE_f = 0.59 eV per atom
# DFT total energy = -7.827 eV per atom

# 2
# Ni2MoW PBE optimized geometry
data_Ni2MoW
_space_group_name_H-M_alt 'F m -3 m'
_space_group_IT_number 225
_space_group_name_Hall '-F 4 2 3'
_cell_length_a 6.000
_cell_length_b 6.000
_cell_length_c 6.000
_cell_angle_alpha 90.00
_cell_angle_beta 90.00
_cell_angle_gamma 90.00
loop_
_atom_site_label
_atom_site_type_symbol
_atom_site_fract_x
_atom_site_fract_y
_atom_site_fract_z
_atom_site_occupancy
Ni1 Ni 0.250 0.250 0.250 1
Mo1 Mo 0.000 0.000 0.000 1
W1 W 0.000 0.000 0.500 1
# energy above the lowest structure with this stoichiometry = 0.308 eV/atom
# ΔE_f = 0.30 eV per atom
# DFT total energy = -8.537 eV per atom

Which magnetization belongs to each record? In order, 0.556 0.000 μB/atom.